# 1
The following is a GGA-PBE calculation of a relaxed structure of BeAlCr2, from Alexandria.

a = 2.913 Å, b = 2.913 Å, c = 5.492 Å
α = 90.00°, β = 90.00°, γ = 90.00°
Positions (direct):
Be1 0.000 0.000 0.000
Al1 0.500 0.500 0.746
Cr1 0.000 0.000 0.448
Cr2 0.500 0.500 0.243

Calculated values
magnetization: 0.00 μB per atom
symmetry: P4mm

***

# 2
The following is a GGA-PBE calculation of a relaxed structure of Be2AlCr, from Alexandria.

a = 2.559 Å, b = 3.375 Å, c = 5.100 Å
α = 90.00°, β = 90.00°, γ = 90.00°
Positions (direct):
Be1 0.000 0.000 0.000
Be2 0.500 0.500 0.222
Al1 0.500 0.500 0.729
Cr1 0.000 0.000 0.461

Calculated values
magnetization: 0.00 μB per atom
symmetry: Pmm2

***

# 3
The following is a GGA-PBE calculation of a relaxed structure of BeAl2Cr, from Alexandria.

a = 3.771 Å, b = 3.771 Å, c = 3.640 Å
α = 90.00°, β = 90.00°, γ = 90.00°
Positions (direct):
Be1 0.000 0.000 0.000
Al1 0.000 0.500 0.500
Al2 0.500 0.000 0.500
Cr1 0.500 0.500 0.000

Calculated values
magnetization: 0.54 μB per atom
symmetry: P4/mmm

***

# 4
The following is a GGA-PBE calculation of a relaxed structure of BeAlCr2, from Alexandria.

a = 3.036 Å, b = 3.848 Å, c = 4.014 Å
α = 90.00°, β = 90.00°, γ = 90.00°
Positions (direct):
Be1 0.000 0.000 0.000
Al1 0.500 0.500 0.000
Cr1 0.000 0.500 0.500
Cr2 0.500 0.000 0.500

Calculated values
magnetization: 0.00 μB per atom
symmetry: Pmmm

***

# 5
The following is a GGA-PBE calculation of a relaxed structure of Be2AlCr, from Alexandria.

a = 2.697 Å, b = 2.697 Å, c = 6.010 Å
α = 90.00°, β = 90.00°, γ = 90.00°
Positions (direct):
Be1 0.000 0.000 0.000
Be2 0.500 0.500 0.177
Al1 0.500 0.500 0.711
Cr1 0.000 0.000 0.418

Calculated values
magnetization: 0.33 μB per atom
symmetry: P4mm

***

# 6
The following is a GGA-PBE calculation of a relaxed structure of BeAlCr2, from Alexandria.

a = 2.897 Å, b = 2.897 Å, c = 5.825 Å
α = 90.00°, β = 90.00°, γ = 90.00°
Positions (direct):
Be1 0.000 0.000 0.000
Al1 0.000 0.000 0.500
Cr1 0.500 0.500 0.226
Cr2 0.500 0.500 0.774

Calculated values
magnetization: 1.18 μB per atom
symmetry: P4/mmm

***

# 7
The following is a GGA-PBE calculation of a relaxed structure of BeAlCr, from Alexandria.

a = 2.612 Å, b = 2.612 Å, c = 6.147 Å
α = 90.00°, β = 90.00°, γ = 120.00°
Positions (direct):
Be1 0.000 0.000 0.000
Al1 0.333 0.667 0.658
Cr1 0.667 0.333 0.308

Calculated values
magnetization: 0.00 μB per atom
symmetry: P3m1

***

# 8
The following is a GGA-PBE calculation of a relaxed structure of BeAlCr2, from Alexandria.

a = 4.011 Å, b = 4.011 Å, c = 4.011 Å
α = 60.00°, β = 60.00°, γ = 60.00°
Positions (direct):
Be1 0.000 0.000 0.000
Al1 0.250 0.250 0.250
Cr1 0.500 0.500 0.500
Cr2 0.750 0.750 0.750

Calculated values
magnetization: 0.04 μB per atom
symmetry: F-43m

***

These records have formation enthalpy at 0 K values of -0.040, 0.168, -0.044, -0.020, 0.116, 0.124, 0.244, -0.018 eV/atom, in the order they appear.
These records have total energy values of -26.875, -20.147, -21.011, -26.794, -20.354, -26.222, -16.361, -26.787 eV per cell, in the order they appear.